Entry 1:
Ca2MgFe (PBEsol, optimized geometry); electronic total energy = -13.6 eV for the cell shown; N(E_F) = 5.9 states/eV/cell; energy of formation = 330 meV/atom
1.0
-2.657 2.186 0.564
-1.619 -2.452 1.877
3.808 2.827 6.977
Ca Mg Fe
2 1 1
direct
0.500 0.500 0.319
0.000 0.000 0.953
0.500 0.500 0.683
0.000 0.000 0.545

Entry 2:
TcSbIrI2 (PBEsol, optimized geometry); ΔE_f (raw) = 1.102 eV per atom; electronic total energy = -23.7 eV for the cell shown; N(E_F) = 5.0 states/eV/cell
1.0
-3.607 -0.248 -3.029
3.108 -2.269 -3.516
-1.272 -4.685 1.898
I Ir Sb Tc
2 1 1 1
direct
0.000 0.500 0.000
0.000 0.000 0.500
0.500 0.000 0.000
0.500 0.500 0.500
0.000 0.000 0.000

Entry 3:
TaAu2Se (PBEsol, optimized geometry); ΔE_f (raw) = 0.072 eV per atom; electronic total energy = -24.0 eV for the cell shown; N(E_F) = 2.2 states/eV/cell
1.0
-1.076 2.607 -1.109
0.550 -1.454 -3.953
-5.148 -2.785 2.590
Au Ta Se
2 1 1
direct
0.704 0.704 0.407
0.296 0.296 0.593
0.000 0.500 0.000
0.500 0.000 0.000

Entry 4:
UB4Os (PBEsol, optimized geometry); electronic total energy = -111.1 eV for the cell shown; N(E_F) = 8.2 states/eV/cell; energy of formation = -520 meV/atom
1.0
-1.991 1.235 -2.597
-4.695 0.045 3.622
2.424 5.367 0.695
U B Os
2 8 2
direct
0.000 0.300 0.700
0.000 0.700 0.300
0.500 0.615 0.935
0.500 0.094 0.906
0.500 0.065 0.385
0.500 0.385 0.065
0.500 0.906 0.094
0.500 0.619 0.619
0.500 0.935 0.615
0.500 0.381 0.381
0.000 0.188 0.188
0.000 0.812 0.812

Entry 5:
RePt5 (PBEsol, optimized geometry); electronic total energy = -48.2 eV for the cell shown; N(E_F) = 7.9 states/eV/cell; energy of formation = -2 meV/atom
1.0
-0.909 -2.554 -0.410
3.154 -0.605 -3.216
5.044 -1.153 5.164
Pt Re
5 1
direct
0.663 0.000 0.327
0.997 0.000 0.994
0.553 0.500 0.106
0.230 0.500 0.459
0.332 0.000 0.665
0.891 0.500 0.782

Entry 6:
ZnRh2Au (PBEsol, optimized geometry); electronic total energy = -21.9 eV for the cell shown; N(E_F) = 5.2 states/eV/cell; energy of formation = -41 meV/atom
1.0
-0.429 -2.354 1.355
1.708 -0.756 2.018
-4.527 3.189 6.900
Rh Au Zn
2 1 1
direct
0.755 0.755 0.734
0.245 0.245 0.266
0.000 0.000 0.000
0.500 0.500 0.500

Entry 7:
ZnIrOs2 (PBEsol, optimized geometry); electronic total energy = -34.5 eV for the cell shown; N(E_F) = 3.3 states/eV/cell; energy of formation = 346 meV/atom
1.0
2.851 0.000 0.000
0.000 4.390 0.000
-1.425 -2.195 4.408
Zn Ir Os
1 1 2
direct
0.500 0.000 0.000
0.000 0.500 0.000
0.232 0.232 0.464
0.768 0.768 0.536

Entry 8:
CdGe2P (PBEsol, optimized geometry); electronic total energy = -15.3 eV for the cell shown; N(E_F) = 2.1 states/eV/cell; energy of formation = 398 meV/atom
1.0
-1.220 4.399 1.138
-2.728 2.509 -2.898
-4.442 0.972 1.205
P Ge Cd
1 2 1
direct
0.000 0.000 0.000
0.250 0.250 0.250
0.750 0.750 0.750
0.500 0.500 0.500

Entry 9:
FeCo2GeBi (PBEsol, optimized geometry); electronic total energy = -24.1 eV for the cell shown; N(E_F) = 7.4 states/eV/cell; energy of formation = 1922 meV/atom
1.0
4.669 0.000 0.000
0.000 4.669 0.000
0.000 0.000 5.362
Bi Ge Co Fe
1 1 2 1
direct
0.000 0.000 0.000
0.000 0.000 0.500
0.500 0.000 0.000
0.000 0.500 0.000
0.500 0.500 0.500

Entry 10:
KMn3C (PBEsol, optimized geometry); electronic total energy = -22.1 eV for the cell shown; N(E_F) = 3.7 states/eV/cell; energy of formation = 3598 meV/atom
1.0
-2.593 3.111 -2.026
-3.611 -2.686 0.497
-0.860 1.900 4.019
Mn C K
3 1 1
direct
0.500 0.000 0.000
0.000 0.000 0.500
0.000 0.500 0.000
0.500 0.500 0.500
0.000 0.000 0.000

Entry 11:
Zr2Ag (PBEsol, optimized geometry); electronic total energy = -21.8 eV for the cell shown; N(E_F) = 1.6 states/eV/cell; energy of formation = -114 meV/atom
1.0
-2.911 -1.086 -0.808
1.074 -3.020 0.190
-0.609 1.871 6.057
Ag Zr
1 2
direct
0.500 0.500 0.000
0.838 0.838 0.675
0.162 0.162 0.325

Entry 12:
CuPt (PBEsol, optimized geometry); electronic total energy = -22.9 eV for the cell shown; N(E_F) = 4.0 states/eV/cell; energy of formation = -80 meV/atom
1.0
3.749 0.000 0.000
0.000 3.749 0.000
-1.875 -1.875 3.799
Pt Cu
2 2
direct
0.500 0.500 0.000
0.750 0.250 0.500
0.000 0.000 0.000
0.250 0.750 0.500

Entry 13:
ZnH2Pd2 (PBEsol, optimized geometry); electronic total energy = -39.2 eV for the cell shown; N(E_F) = 2.2 states/eV/cell
1.0
2.772 0.000 0.000
0.000 6.388 0.000
0.000 0.000 6.388
Zn H Pd
2 4 4
direct
0.000 0.500 0.500
0.000 0.000 0.000
0.500 0.263 0.237
0.500 0.737 0.763
0.500 0.763 0.263
0.500 0.237 0.737
0.000 0.851 0.649
0.000 0.149 0.351
0.000 0.649 0.149
0.000 0.351 0.851

Entry 14:
AlFe2Co (PBEsol, optimized geometry); electronic total energy = -30.4 eV for the cell shown; N(E_F) = 3.8 states/eV/cell; energy of formation = -164 meV/atom
1.0
-0.793 -0.022 -3.406
-2.144 -2.714 0.516
-1.332 3.700 2.082
Al Fe Co
1 2 1
direct
0.500 0.500 0.000
0.750 0.250 0.500
0.250 0.750 0.500
0.000 0.000 0.000

Entry 15:
Ce4SmO10 (PBEsol, optimized geometry); ΔE_f (raw) = -3.317 eV per atom; electronic total energy = -133.7 eV for the cell shown; N(E_F) = 18.1 states/eV/cell
1.0
5.412 0.000 0.000
2.706 6.050 0.000
2.706 0.000 6.050
O Ce Sm
10 4 1
direct
0.355 0.103 0.695
0.847 0.103 0.695
0.950 0.695 0.897
0.050 0.305 0.103
0.750 0.500 0.500
0.645 0.897 0.305
0.153 0.897 0.305
0.458 0.695 0.897
0.542 0.305 0.103
0.250 0.500 0.500
0.399 0.400 0.801
0.200 0.199 0.400
0.601 0.600 0.199
0.800 0.801 0.600
0.000 0.000 0.000

Entry 16:
La2TcIBr (PBEsol, optimized geometry); ΔE_f (raw) = -0.028 eV per atom; electronic total energy = -25.7 eV for the cell shown; N(E_F) = 4.8 states/eV/cell
1.0
4.451 0.000 0.000
0.000 5.702 0.000
0.000 0.000 5.702
La I Br Tc
2 1 1 1
direct
0.000 0.000 0.500
0.000 0.500 0.000
0.500 0.500 0.500
0.000 0.000 0.000
0.500 0.000 0.000

Entry 17:
KCdHg2 (PBEsol, optimized geometry); electronic total energy = -3.9 eV for the cell shown; N(E_F) = 1.4 states/eV/cell; energy of formation = -111 meV/atom
1.0
3.275 0.000 0.068
0.000 5.261 0.000
-0.156 0.000 6.174
Hg Cd K
2 1 1
direct
0.996 0.500 0.251
0.999 0.000 0.990
0.005 0.500 0.769
0.499 0.000 0.491

Entry 18:
ErGa6 (PBEsol, optimized geometry); electronic total energy = -54.7 eV for the cell shown; N(E_F) = 2.5 states/eV/cell; energy of formation = -344 meV/atom
1.0
5.834 0.000 0.000
0.000 5.834 0.000
0.000 0.000 7.468
Ga Er
12 2
direct
0.177 0.323 0.352
0.500 0.500 0.161
0.677 0.823 0.648
0.323 0.177 0.648
0.000 0.000 0.161
0.823 0.677 0.352
0.677 0.177 0.352
0.823 0.323 0.648
0.500 0.500 0.839
0.323 0.823 0.352
0.000 0.000 0.839
0.177 0.677 0.648
0.000 0.500 0.000
0.500 0.000 0.000

Entry 19:
InFe2Hg (PBEsol, optimized geometry); electronic total energy = -19.9 eV for the cell shown; N(E_F) = 4.5 states/eV/cell; energy of formation = 393 meV/atom
1.0
-3.243 -3.023 0.135
0.306 -3.691 -2.442
0.695 -3.912 1.972
Fe In Hg
2 1 1
direct
0.250 0.250 0.250
0.750 0.750 0.750
0.500 0.500 0.500
0.000 0.000 0.000

Entry 20:
CrCuO3 (PBEsol, optimized geometry); ΔE_f (raw) = -0.995 eV per atom; electronic total energy = -35.3 eV for the cell shown; N(E_F) = 1.4 states/eV/cell
1.0
3.627 0.000 0.000
0.000 3.627 0.000
0.000 0.000 3.627
O Cr Cu
3 1 1
direct
0.500 0.000 0.000
0.000 0.000 0.500
0.000 0.500 0.000
0.000 0.000 0.000
0.500 0.500 0.500